1.
## CoBCl2 (GGA-PBEsol)

Data for a relaxed CoBCl2 crystal.

Results
**E_form (uncorrected)**: 1.0715 eV/atom
**Symmetry**: Fm-3m (225)
**Magnetic moment**: 0.517 μB/atom
**Theoretical density**: 4.14 g/cm3

a = 4.3035 Å, b = 4.3035 Å, c = 4.3035 Å
α = 60.00°, β = 60.00°, γ = 60.00°
Each line ends with the local moment (μB).
Fractional coordinates of all 4 atoms:
B  0.0000  0.0000  0.0000  -0.04
Co  0.5000  0.5000  0.5000  2.00
Cl  0.2500  0.2500  0.2500  0.10
Cl  0.7500  0.7500  0.7500  0.10

2.
## Be4ZnPt (GGA-PBEsol)

Data for a relaxed Be4ZnPt crystal.

Results
**Symmetry**: F-43m (216)
**Energy of formation from the pure elements**: -0.42 eV/atom
**Magnetic moment**: 0.000 μB/atom
**Theoretical density**: 8.57 g/cm3

a = 4.3318 Å, b = 4.3318 Å, c = 4.3318 Å
α = 60.00°, β = 60.00°, γ = 60.00°
Fractional coordinates of all 6 atoms:
Be  0.3753  0.3753  0.3753
Be  0.3753  0.3753  0.8741
Be  0.8741  0.3753  0.3753
Be  0.3753  0.8741  0.3753
Zn  0.0000  0.0000  0.0000
Pt  0.7500  0.7500  0.7500

3.
## CdIn2Te (GGA-PBEsol)

Data for a relaxed CdIn2Te crystal.

Results
**E_form (uncorrected)**: -0.0340 eV/atom
**Symmetry**: I4/mmm (139)
**Magnetic moment**: 0.000 μB/atom
**Offset from the most stable computed form**: 0.005 eV per atom
**Theoretical density**: 7.40 g/cm3

a = 4.3211 Å, b = 4.3211 Å, c = 6.4181 Å
α = 109.67°, β = 109.67°, γ = 90.00°
Fractional coordinates of all 4 atoms:
Cd  0.0000  0.0000  0.0000
Te  0.5000  0.5000  0.0000
In  0.7500  0.2500  0.5000
In  0.2500  0.7500  0.5000

4.
## Ta2SbAs (GGA-PBEsol)

Data for a relaxed Ta2SbAs crystal.

Results
**E_form (uncorrected)**: -0.3235 eV/atom
**Symmetry**: P4mm (99)
**Magnetic moment**: 0.000 μB/atom
**Theoretical density**: 12.55 g/cm3

a = 3.4378 Å, b = 3.4378 Å, c = 6.2520 Å
α = 90.00°, β = 90.00°, γ = 90.00°
Fractional coordinates of all 4 atoms:
Sb  0.5000  0.5000  0.7750
As  0.0000  0.0000  0.4413
Ta  0.0000  0.0000  0.0061
Ta  0.5000  0.5000  0.2777

5.
## CdReCl2 (GGA-PBEsol)

Data for a relaxed CdReCl2 crystal.

Results
**E_form (uncorrected)**: 0.5051 eV/atom
**Symmetry**: Imm2 (44)
**Magnetic moment**: 0.746 μB/atom
**Offset from the most stable computed form**: 0.000 eV per atom
**Theoretical density**: 6.88 g/cm3

a = 3.1066 Å, b = 5.7684 Å, c = 5.7684 Å
α = 65.64°, β = 74.38°, γ = 74.38°
Each line ends with the local moment (μB).
Fractional coordinates of all 4 atoms:
Re  0.5107  0.4893  0.4893  2.25
Cl  0.0311  0.9689  0.9689  0.10
Cl  0.2002  0.2998  0.2998  0.04
Cd  0.7580  0.7420  0.7420  0.02

6.
## Y3ReH (GGA-PBEsol)

Data for a relaxed Y3ReH crystal.

Results
**Symmetry**: Pm-3m (221)
**Magnetic moment**: 0.000 μB/atom
**Theoretical density**: 7.85 g/cm3
**Electronic total energy**: -36.29 eV for the cell shown

a = 4.5790 Å, b = 4.5790 Å, c = 4.5790 Å
α = 90.00°, β = 90.00°, γ = 90.00°
Fractional coordinates of all 5 atoms:
Y  0.0000  0.5000  0.0000
Y  0.0000  0.0000  0.5000
Y  0.5000  0.0000  0.0000
Re  0.5000  0.5000  0.5000
H  0.0000  0.0000  0.0000

7.
## Zr2FeHg (GGA-PBEsol)

Data for a relaxed Zr2FeHg crystal.

Results
**Symmetry**: P2/m (10)
**Energy of formation from the pure elements**: -0.22 eV/atom
**Magnetic moment**: 0.097 μB/atom
**Theoretical density**: 10.06 g/cm3

a = 3.1391 Å, b = 3.1406 Å, c = 7.3517 Å
α = 90.32°, β = 90.00°, γ = 90.00°
Each line ends with the local moment (μB).
Fractional coordinates of all 4 atoms:
Hg  0.5000  0.5000  0.0000  -0.01
Zr  0.0000  0.9959  0.7104  -0.13
Zr  0.0000  0.0041  0.2896  -0.13
Fe  0.5000  0.5000  0.5000  0.79

8.
## InRe2PRh (GGA-PBEsol)

Data for a relaxed InRe2PRh crystal.

Results
**Symmetry**: P4/mmm (123)
**Energy of formation from the pure elements**: 0.53 eV/atom
**Magnetic moment**: 0.000 μB/atom
**Theoretical density**: 12.40 g/cm3

a = 4.2937 Å, b = 4.4011 Å, c = 4.4011 Å
α = 90.00°, β = 90.00°, γ = 90.00°
Fractional coordinates of all 5 atoms:
Re  0.0000  0.0000  0.5000
Re  0.0000  0.5000  0.0000
Rh  0.5000  0.0000  0.0000
P  0.0000  0.0000  0.0000
In  0.5000  0.5000  0.5000

9.
## TiBeI3 (GGA-PBEsol)

Data for a relaxed TiBeI3 crystal.

Results
**E_form (uncorrected)**: 0.2540 eV/atom
**Symmetry**: Pm-3m (221)
**Magnetic moment**: 0.199 μB/atom
**Theoretical density**: 4.44 g/cm3

a = 5.4718 Å, b = 5.4718 Å, c = 5.4718 Å
α = 90.00°, β = 90.00°, γ = 90.00°
Each line ends with the local moment (μB).
Fractional coordinates of all 5 atoms:
I  0.0000  0.5000  0.0000  -0.03
I  0.0000  0.0000  0.5000  -0.03
I  0.5000  0.0000  0.0000  -0.03
Be  0.5000  0.5000  0.5000  -0.06
Ti  0.0000  0.0000  0.0000  1.02

10.
## ReNi (GGA-PBEsol)

Data for a relaxed ReNi crystal.

Results
**Symmetry**: F-43m (216)
**Energy of formation from the pure elements**: 1.73 eV/atom
**Magnetic moment**: 0.000 μB/atom
**Theoretical density**: 11.57 g/cm3

a = 3.6763 Å, b = 3.6763 Å, c = 3.6763 Å
α = 60.00°, β = 60.00°, γ = 60.00°
Fractional coordinates of all 2 atoms:
Ni  0.0000  0.0000  0.0000
Re  0.2500  0.2500  0.2500

11.
## CeCu4P2 (GGA-PBEsol)

Data for a relaxed CeCu4P2 crystal.

Results
**Symmetry**: Pnnm (58)
**Energy of formation from the pure elements**: -0.55 eV/atom
**Magnetic moment**: 0.079 μB/atom
**Theoretical density**: 7.68 g/cm3

a = 3.8028 Å, b = 10.7638 Å, c = 14.4623 Å
α = 90.00°, β = 90.00°, γ = 90.00°
Each line ends with the local moment (μB).
Fractional coordinates of all 42 atoms:
Ce  0.0000  0.1229  0.7285  0.51
Ce  0.0000  0.8771  0.2715  0.51
Ce  0.5000  0.3771  0.2285  0.51
Ce  0.5000  0.6229  0.7715  0.51
Ce  0.0000  0.0000  0.0000  0.50
Ce  0.5000  0.5000  0.5000  0.50
Cu  0.0000  0.0673  0.4360  0.00
Cu  0.0000  0.9327  0.5640  0.00
Cu  0.5000  0.4327  0.9360  0.00
Cu  0.5000  0.5673  0.0640  0.00
Cu  0.0000  0.3987  0.0539  0.00
Cu  0.0000  0.6013  0.9461  0.00
Cu  0.5000  0.1013  0.5539  0.00
Cu  0.5000  0.8987  0.4461  0.00
Cu  0.0000  0.5772  0.3311  0.00
Cu  0.0000  0.4228  0.6689  0.00
Cu  0.5000  0.9228  0.8311  0.00
Cu  0.5000  0.0772  0.1689  0.00
Cu  0.0000  0.2633  0.5349  0.00
Cu  0.0000  0.7367  0.4651  0.00
Cu  0.5000  0.2367  0.0349  0.00
Cu  0.5000  0.7633  0.9651  0.00
Cu  0.0000  0.7409  0.0881  0.00
Cu  0.0000  0.2591  0.9119  0.00
Cu  0.5000  0.7591  0.5881  0.00
Cu  0.5000  0.2409  0.4119  0.00
Cu  0.0000  0.1728  0.2867  0.00
Cu  0.0000  0.8272  0.7133  0.00
Cu  0.5000  0.3272  0.7867  0.00
Cu  0.5000  0.6728  0.2133  0.00
P  0.0000  0.3689  0.3852  -0.01
P  0.0000  0.6311  0.6148  -0.01
P  0.5000  0.1311  0.8852  -0.01
P  0.5000  0.8689  0.1148  -0.01
P  0.0000  0.5558  0.1659  -0.01
P  0.0000  0.4442  0.8341  -0.01
P  0.5000  0.9442  0.6659  -0.01
P  0.5000  0.0558  0.3341  -0.01
P  0.0000  0.2059  0.1299  -0.01
P  0.0000  0.7941  0.8701  -0.01
P  0.5000  0.2941  0.6299  -0.01
P  0.5000  0.7059  0.3701  -0.01

12.
## YSiTe2 (GGA-PBEsol)

Data for a relaxed YSiTe2 crystal.

Results
**E_form (uncorrected)**: -0.5482 eV/atom
**Symmetry**: P4mm (99)
**Magnetic moment**: 0.000 μB/atom
**Theoretical density**: 5.73 g/cm3

a = 4.2239 Å, b = 4.2239 Å, c = 6.0427 Å
α = 90.00°, β = 90.00°, γ = 90.00°
Fractional coordinates of all 4 atoms:
Si  0.5000  0.5000  0.8759
Te  0.0000  0.0000  0.8739
Te  0.5000  0.5000  0.3767
Y  0.0000  0.0000  0.3736